First-principles (PBE) data for crystalline AgIN2F at its relaxed geometry, as listed in Alexandria.

Summary:
The relative energy among the computed polymorphs is 185 meV per atom. The calculated volume comes out at 95 Å³/f.u. The value obtained for the formation energy (no corrections) is 1447 meV/atom. The density of states at the Fermi level is 2.6 states/eV/cell. Its symmetry is P4/mmm.

a b c (Å): 3.936 3.936 6.154
angles (deg): 90.00 90.00 90.00
Element x y z (fractional)
Ag1 0.000 0.000 0.000
I1 0.000 0.000 0.500
N1 0.000 0.500 0.500
N2 0.500 0.000 0.500
F1 0.500 0.500 0.000

***

First-principles (PBE) data for crystalline AgI2NF at its relaxed geometry, as listed in Alexandria.

Summary:
The relative energy among the computed polymorphs is 0 meV per atom. The calculated volume comes out at 134 Å³/f.u. The value obtained for the formation energy (no corrections) is 893 meV/atom. The density of states at the Fermi level is 5.8 states/eV/cell. Its symmetry is P4/mmm.

a b c (Å): 5.711 5.711 4.099
angles (deg): 90.00 90.00 90.00
Element x y z (fractional)
Ag1 0.000 0.000 0.000
I1 0.000 0.500 0.000
I2 0.500 0.000 0.000
N1 0.000 0.000 0.500
F1 0.500 0.500 0.500